# LaNdPt2, relaxed, DFT GGA-PBE
# E_form: -406 kJ/mol of formula units
# Spin magnetization: 0.000 μB per atom
# E: -6.495 eV per atom
# V: 96 Å³ per cell
data_LaNdPt2
_cell_length_a 5.146
_cell_length_b 5.146
_cell_length_c 5.146
_cell_angle_alpha 60.00
_cell_angle_beta 60.00
_cell_angle_gamma 60.00
_symmetry_space_group_name_H-M 'P 1'
_symmetry_Int_Tables_number 1
_symmetry_space_group_name_Hall 'P 1'
loop_
_atom_site_label
_atom_site_type_symbol
_atom_site_fract_x
_atom_site_fract_y
_atom_site_fract_z
La1 La 0.000 0.000 0.000
Nd1 Nd 0.500 0.500 0.500
Pt1 Pt 0.250 0.250 0.250
Pt2 Pt 0.750 0.750 0.750

# Li2ZrTc, relaxed, DFT GGA-PBE
# E_form: 112 kJ/mol of formula units
# Spin magnetization: 0.000 μB per atom
# E: -5.396 eV per atom
# V: 65 Å³ per cell
data_Li2ZrTc
_cell_length_a 5.018
_cell_length_b 5.018
_cell_length_c 5.018
_cell_angle_alpha 141.92
_cell_angle_beta 122.48
_cell_angle_gamma 71.09
_symmetry_space_group_name_H-M 'P 1'
_symmetry_Int_Tables_number 1
_symmetry_space_group_name_Hall 'P 1'
loop_
_atom_site_label
_atom_site_type_symbol
_atom_site_fract_x
_atom_site_fract_y
_atom_site_fract_z
Li1 Li 0.000 0.000 0.000
Li2 Li 0.781 0.281 0.500
Zr1 Zr 0.281 0.781 0.500
Tc1 Tc 0.532 0.532 0.000

# Fe2AsPb, relaxed, DFT GGA-PBE
# E_form: 203 kJ/mol of formula units
# Spin magnetization: 1.177 μB per atom
# E: -5.796 eV per atom
# V: 67 Å³ per cell
data_Fe2AsPb
_cell_length_a 4.517
_cell_length_b 4.517
_cell_length_c 3.285
_cell_angle_alpha 90.00
_cell_angle_beta 90.00
_cell_angle_gamma 90.00
_symmetry_space_group_name_H-M 'P 1'
_symmetry_Int_Tables_number 1
_symmetry_space_group_name_Hall 'P 1'
loop_
_atom_site_label
_atom_site_type_symbol
_atom_site_fract_x
_atom_site_fract_y
_atom_site_fract_z
Fe1 Fe 0.000 0.500 0.000
Fe2 Fe 0.500 0.000 0.000
As1 As 0.000 0.000 0.500
Pb1 Pb 0.500 0.500 0.500

# CrGeTeRu, relaxed, DFT GGA-PBE
# Spin magnetization: 0.658 μB per atom
# Formation energy (no corrections): 0.004 eV/atom
# E: -6.660 eV per atom
# V: 74 Å³ per cell
data_CrGeTeRu
_cell_length_a 3.938
_cell_length_b 3.938
_cell_length_c 5.489
_cell_angle_alpha 90.00
_cell_angle_beta 90.00
_cell_angle_gamma 120.00
_symmetry_space_group_name_H-M 'P 1'
_symmetry_Int_Tables_number 1
_symmetry_space_group_name_Hall 'P 1'
loop_
_atom_site_label
_atom_site_type_symbol
_atom_site_fract_x
_atom_site_fract_y
_atom_site_fract_z
Cr1 Cr 0.000 0.000 0.000
Ge1 Ge 0.667 0.333 0.256
Te1 Te 0.333 0.667 0.734
Ru1 Ru 0.000 0.000 0.468

# Na3SrSi, relaxed, DFT GGA-PBE
# Spin magnetization: 0.200 μB per atom
# Formation energy (no corrections): 1.159 eV/atom
# E: -1.053 eV per atom
# V: 287 Å³ per cell
data_Na3SrSi
_cell_length_a 6.595
_cell_length_b 6.595
_cell_length_c 6.595
_cell_angle_alpha 90.00
_cell_angle_beta 90.00
_cell_angle_gamma 90.00
_symmetry_space_group_name_H-M 'P 1'
_symmetry_Int_Tables_number 1
_symmetry_space_group_name_Hall 'P 1'
loop_
_atom_site_label
_atom_site_type_symbol
_atom_site_fract_x
_atom_site_fract_y
_atom_site_fract_z
Na1 Na 0.000 0.000 0.500
Na2 Na 0.000 0.500 0.000
Na3 Na 0.500 0.000 0.000
Sr1 Sr 0.000 0.000 0.000
Si1 Si 0.500 0.500 0.500

# Tl2NiSb, relaxed, DFT GGA-PBE
# Spin magnetization: 0.000 μB per atom
# Formation energy (no corrections): 0.416 eV/atom
# E: -3.243 eV per atom
# V: 97 Å³ per cell
data_Tl2NiSb
_cell_length_a 6.150
_cell_length_b 6.150
_cell_length_c 6.150
_cell_angle_alpha 139.45
_cell_angle_beta 139.45
_cell_angle_gamma 58.68
_symmetry_space_group_name_H-M 'P 1'
_symmetry_Int_Tables_number 1
_symmetry_space_group_name_Hall 'P 1'
loop_
_atom_site_label
_atom_site_type_symbol
_atom_site_fract_x
_atom_site_fract_y
_atom_site_fract_z
Tl1 Tl 0.250 0.750 0.500
Tl2 Tl 0.750 0.250 0.500
Ni1 Ni 0.000 0.000 0.000
Sb1 Sb 0.500 0.500 0.000

# Th3Ge, relaxed, DFT GGA-PBE
# E_form: -157 kJ/mol of formula units
# Spin magnetization: 0.000 μB per atom
# E: -7.127 eV per atom
# V: 932 Å³ per cell
data_Th3Ge
_cell_length_a 12.380
_cell_length_b 12.380
_cell_length_c 6.079
_cell_angle_alpha 90.00
_cell_angle_beta 90.00
_cell_angle_gamma 90.00
_symmetry_space_group_name_H-M 'P 1'
_symmetry_Int_Tables_number 1
_symmetry_space_group_name_Hall 'P 1'
loop_
_atom_site_label
_atom_site_type_symbol
_atom_site_fract_x
_atom_site_fract_y
_atom_site_fract_z
Th1 Th 0.034 0.572 0.245
Th2 Th 0.072 0.966 0.745
Th3 Th 0.113 0.224 0.023
Th4 Th 0.140 0.666 0.725
Th5 Th 0.166 0.860 0.225
Th6 Th 0.224 0.387 0.477
Th7 Th 0.276 0.113 0.477
Th8 Th 0.334 0.640 0.225
Th9 Th 0.360 0.834 0.725
Th10 Th 0.387 0.276 0.023
Th11 Th 0.428 0.534 0.745
Th12 Th 0.466 0.928 0.245
Th13 Th 0.534 0.072 0.755
Th14 Th 0.572 0.466 0.255
Th15 Th 0.613 0.724 0.977
Th16 Th 0.640 0.166 0.275
Th17 Th 0.666 0.360 0.775
Th18 Th 0.724 0.887 0.523
Th19 Th 0.776 0.613 0.523
Th20 Th 0.834 0.140 0.775
Th21 Th 0.860 0.334 0.275
Th22 Th 0.887 0.776 0.977
Th23 Th 0.928 0.034 0.255
Th24 Th 0.966 0.428 0.755
Ge1 Ge 0.046 0.209 0.532
Ge2 Ge 0.209 0.454 0.968
Ge3 Ge 0.291 0.046 0.968
Ge4 Ge 0.454 0.291 0.532
Ge5 Ge 0.546 0.709 0.468
Ge6 Ge 0.709 0.954 0.032
Ge7 Ge 0.791 0.546 0.032
Ge8 Ge 0.954 0.791 0.468

# Li2TlZnI6, relaxed, DFT GGA-PBE
# Spin magnetization: 0.102 μB per atom
# Formation energy (no corrections): -0.717 eV/atom
# E: -2.394 eV per atom
# V: 929 Å³ per cell
data_Li2TlZnI6
_cell_length_a 10.974
_cell_length_b 10.974
_cell_length_c 8.782
_cell_angle_alpha 109.21
_cell_angle_beta 109.21
_cell_angle_gamma 92.78
_symmetry_space_group_name_H-M 'P 1'
_symmetry_Int_Tables_number 1
_symmetry_space_group_name_Hall 'P 1'
loop_
_atom_site_label
_atom_site_type_symbol
_atom_site_fract_x
_atom_site_fract_y
_atom_site_fract_z
Li1 Li 0.077 0.250 0.095
Li2 Li 0.250 0.077 0.595
Li3 Li 0.750 0.923 0.405
Li4 Li 0.923 0.750 0.905
Tl1 Tl 0.385 0.615 0.750
Tl2 Tl 0.615 0.385 0.250
Zn1 Zn 0.332 0.668 0.250
Zn2 Zn 0.668 0.332 0.750
I1 I 0.076 0.167 0.366
I2 I 0.150 0.644 0.956
I3 I 0.167 0.076 0.866
I4 I 0.308 0.438 0.295
I5 I 0.356 0.850 0.544
I6 I 0.438 0.308 0.795
I7 I 0.562 0.692 0.205
I8 I 0.644 0.150 0.456
I9 I 0.692 0.562 0.705
I10 I 0.833 0.924 0.134
I11 I 0.850 0.356 0.044
I12 I 0.924 0.833 0.634

# BaNpPt2O8, relaxed, DFT GGA-PBE
# Spin magnetization: 0.227 μB per atom
# Formation energy (no corrections): -1.163 eV/atom
# E: -6.714 eV per atom
# V: 204 Å³ per cell
data_BaNpPt2O8
_cell_length_a 5.561
_cell_length_b 5.561
_cell_length_c 7.617
_cell_angle_alpha 90.00
_cell_angle_beta 90.00
_cell_angle_gamma 120.00
_symmetry_space_group_name_H-M 'P 1'
_symmetry_Int_Tables_number 1
_symmetry_space_group_name_Hall 'P 1'
loop_
_atom_site_label
_atom_site_type_symbol
_atom_site_fract_x
_atom_site_fract_y
_atom_site_fract_z
Ba1 Ba 0.000 0.000 0.000
Np1 Np 0.000 0.000 0.500
Pt1 Pt 0.333 0.667 0.703
Pt2 Pt 0.667 0.333 0.297
O1 O 0.006 0.715 0.331
O2 O 0.285 0.290 0.331
O3 O 0.290 0.006 0.669
O4 O 0.333 0.667 0.950
O5 O 0.667 0.333 0.050
O6 O 0.710 0.994 0.331
O7 O 0.715 0.710 0.669
O8 O 0.994 0.285 0.669

# RePtCl2, relaxed, DFT GGA-PBE
# Spin magnetization: 0.000 μB per atom
# Formation energy (no corrections): 0.440 eV/atom
# E: -5.106 eV per atom
# V: 83 Å³ per cell
data_RePtCl2
_cell_length_a 12.160
_cell_length_b 12.160
_cell_length_c 12.160
_cell_angle_alpha 13.31
_cell_angle_beta 13.31
_cell_angle_gamma 13.31
_symmetry_space_group_name_H-M 'P 1'
_symmetry_Int_Tables_number 1
_symmetry_space_group_name_Hall 'P 1'
loop_
_atom_site_label
_atom_site_type_symbol
_atom_site_fract_x
_atom_site_fract_y
_atom_site_fract_z
Re1 Re 0.000 0.000 0.000
Pt1 Pt 0.500 0.500 0.500
Cl1 Cl 0.062 0.062 0.062
Cl2 Cl 0.938 0.938 0.938